A relaxed ZrSc crystal. Source: the Alexandria database, functional PBEsol.

a b c (Å): 3.143 3.143 5.548
angles (deg): 73.55 73.55 60.00
Positions (direct):
Sc  0.000  0.000  0.000
Zr  0.500  0.500  0.500

Summary:
Size of the total moment in μB per atom: 0.000

A relaxed Mn4TcIr crystal. Source: the Alexandria database, functional PBEsol.

a b c (Å): 4.608 4.608 4.608
angles (deg): 60.00 60.00 60.00
Positions (direct):
Ir  0.000  0.000  0.000
Mn  0.374  0.374  0.374
Mn  0.374  0.374  0.879
Mn  0.879  0.374  0.374
Mn  0.374  0.879  0.374
Tc  0.750  0.750  0.750

Summary:
Size of the total moment in μB per atom: 0.317

A relaxed YMnP2 crystal. Source: the Alexandria database, functional PBEsol.

a b c (Å): 3.487 4.404 4.404
angles (deg): 97.51 90.00 90.00
Positions (direct):
Mn  0.500  0.500  0.500
P  0.000  0.000  0.500
P  0.000  0.500  0.000
Y  0.500  0.000  0.000

Summary:
Size of the total moment in μB per atom: 0.935

What are the ΔE_f values for these records? In order: 0.04, -0.05, -0.45 eV/atom.
What are the theoretical density values for these records? In order: 5.043, 12.240, 5.097 Mg/m³.